Material: NdHo3Tm8
Method: DFT, PBE
State: relaxed Values from VASP.

Summary:
Volume = 33.13 Å³ per atom
Crystal system = orthorhombic
E_tot = -4.20 eV per atom

Cell and atoms, written as Quantum ESPRESSO input:
```
&SYSTEM
  ibrav = 0, nat = 12, ntyp = 3
/
ATOMIC_SPECIES
Tm 168.93 Tm.upf
Ho 164.93 Ho.upf
Nd 144.24 Nd.upf
CELL_PARAMETERS angstrom
8.138 -1.314 -2.205
-5.848 6.082 -1.275
1.196 1.314 8.346
ATOMIC_POSITIONS angstrom
Tm 3.070 4.227 2.052
Tm 0.415 1.854 2.814
Tm 7.513 1.179 3.711
Tm 5.390 0.541 -1.473
Tm 2.953 1.178 0.710
Tm -4.028 4.903 1.156
Tm 0.533 4.902 4.156
Tm -1.904 5.541 6.339
Ho -0.047 4.278 0.071
Ho 3.532 1.804 4.795
Ho 5.812 2.384 1.331
Nd 2.290 4.768 -3.480
```

=====

Material: SrAcAu2O8
Method: DFT, PBE
State: relaxed Values from VASP.

Summary:
E_form (uncorrected) = -0.901 eV per atom
Volume = 14.22 Å³ per atom
Crystal system = tetragonal
E_tot = -5.24 eV per atom

Cell and atoms, written as Quantum ESPRESSO input:
```
&SYSTEM
  ibrav = 0, nat = 12, ntyp = 4
/
ATOMIC_SPECIES
O 16.00 O.upf
Sr 87.62 Sr.upf
Au 196.97 Au.upf
Ac 227.00 Ac.upf
CELL_PARAMETERS angstrom
6.278 0.000 0.000
0.000 6.278 0.000
-3.139 -3.139 4.330
ATOMIC_POSITIONS angstrom
O 4.368 4.706 0.157
O 1.585 1.926 2.340
O 1.567 -1.230 4.172
O 1.213 4.724 1.990
O -1.567 1.230 4.172
O 1.909 1.572 0.157
O -1.585 4.352 2.340
O -1.213 1.554 1.990
Sr 3.139 0.000 2.165
Au 3.139 3.139 0.000
Au 0.000 3.139 2.165
Ac 0.000 0.000 0.000
```

=====

Calculated values (μB/atom) of magnetic moment for the records, taken in order: 0.00 0.00.